Material: Cs3RhO4
Method: DFT, PBE-GGA
State: relaxed

Geometry as extended XYZ:
```
32
Lattice="-2.951 5.450 6.260 0.862 -7.053 6.546 8.844 2.738 1.785" Properties=species:S:1:pos:R:3 pbc="T T T"
Cs 5.088 -0.532 12.958
Cs 6.139 0.213 6.607
Cs 3.546 -1.629 8.879
Cs 1.667 1.668 1.634
Cs 7.293 4.029 6.537
Cs 2.021 1.499 11.635
Cs 8.818 0.900 3.781
Cs 0.616 0.923 7.985
Cs 3.209 2.764 5.713
Cs -2.063 0.235 10.811
Cs -0.538 -2.893 8.055
Cs 4.734 -0.364 2.957
O 0.181 -1.294 5.201
O 8.419 -3.317 9.066
O 4.192 3.698 10.910
O 4.568 4.304 8.118
O 3.613 1.513 8.793
O 3.142 -0.377 5.799
O 6.574 2.430 9.391
O 1.298 5.370 6.124
O 6.056 -2.209 10.732
O -1.664 4.453 5.526
O 5.457 -4.234 8.468
O 2.187 -3.169 6.474
O 0.699 3.344 3.860
O 0.774 -0.955 10.080
O 2.563 -2.562 3.682
O 5.981 2.091 4.512
Rh 1.981 -1.713 5.265
Rh 5.848 3.410 3.147
Rh 0.907 -2.275 11.446
Rh 4.774 2.849 9.327
```

Calculated values
The formation energy (no corrections) comes out at -841.1 kJ/mol of formula units.

Material: LiSi2Ru
Method: DFT, PBE-GGA
State: relaxed

Geometry as extended XYZ:
```
4
Lattice="2.774 -0.023 0.000 -1.081 2.555 0.000 0.000 0.000 8.105" Properties=species:S:1:pos:R:3 pbc="T T T"
Li 0.000 0.000 4.076
Ru 0.847 1.266 6.255
Si 0.000 0.000 8.041
Si 0.847 1.266 1.892
```

Calculated values
For the energy relative to the lowest polymorph listed for this composition, the calculation gives 486 meV per atom. The formation energy (no corrections) comes out at 53.4 kJ/mol of formula units.

Material: Tb6HgTe3Ir2
Method: DFT, PBE-GGA
State: relaxed

Geometry as extended XYZ:
```
12
Lattice="-2.147 3.277 1.391 -6.540 -5.432 2.703 6.824 -1.026 6.739" Properties=species:S:1:pos:R:3 pbc="T T T"
Tb -2.775 -1.237 4.846
Tb -1.443 -1.398 1.068
Tb -1.903 -4.297 7.186
Tb 0.040 1.116 3.646
Tb -0.421 -1.783 9.765
Tb 0.911 -1.944 5.986
Hg -1.074 1.639 0.695
Ir -0.290 -1.674 3.497
Ir -1.574 -1.507 7.336
Te -4.344 -1.078 2.047
Te -3.739 -4.401 4.598
Te 1.876 1.220 6.234
```

Calculated values
The formation energy (no corrections) comes out at -1151.7 kJ/mol of formula units.

Material: TbPm2SmY6
Method: DFT, PBE-GGA
State: relaxed

Geometry as extended XYZ:
```
20
Lattice="-5.506 -8.076 -1.101 4.372 -2.973 7.032 -6.796 5.408 1.402" Properties=species:S:1:pos:R:3 pbc="T T T"
Sm -3.644 -0.009 3.410
Sm -4.286 -5.632 3.924
Y -3.084 -8.856 5.497
Y -0.341 -3.165 7.118
Y -6.979 -5.271 1.812
Y -6.026 -2.666 3.801
Y -1.904 -2.975 3.533
Y -7.589 -2.476 0.216
Y 1.351 -3.081 3.885
Y -0.952 -0.370 5.522
Y -0.630 -6.054 4.799
Y -9.282 -2.560 3.448
Y -7.301 0.413 2.534
Y -4.846 3.215 1.836
Pm -4.132 -3.390 1.151
Pm -7.661 -5.457 5.074
Pm -3.799 -2.251 6.183
Pm -0.270 -0.184 2.260
Tb 2.788 -4.837 6.653
Tb -10.719 -0.804 0.681
```

Calculated values
The uncorrected energy is -112.952 eV for the cell shown.

Number 1: M_tot 0.00 μB/f.u.. Number 2: M_tot 0.00 μB/f.u.. Number 3: M_tot 0.00 μB/f.u.. Number 4: M_tot 0.00 μB/f.u..